Record 1
This record from Alexandria describes a geometry-optimized PmYNi2H8 structure. The functional is PBE-GGA.

Results
DFT total energy: -4.448 eV per atom

CIF file:
```
data_PmYNi2H8
_chemical_formula_sum 'Pm3 Y3 Ni6 H24'
_space_group_name_H-M_alt 'R -3 m'
_space_group_IT_number 166
_space_group_name_Hall '-R 3 2"'
_cell_length_a 4.4738
_cell_length_b 4.4738
_cell_length_c 18.8154
_cell_angle_alpha 90.00
_cell_angle_beta 90.00
_cell_angle_gamma 120.00
loop_
_atom_site_label
_atom_site_type_symbol
_atom_site_fract_x
_atom_site_fract_y
_atom_site_fract_z
_atom_site_occupancy
Pm1 Pm 0.0000 0.0000 0.0000 1
Y1 Y 0.0000 0.0000 0.5000 1
Ni1 Ni 0.0000 0.0000 0.2579 1
H1 H 0.0000 0.0000 0.3431 1
H2 H 0.0329 0.5165 0.5565 1
```

Record 2
This record from Alexandria describes a geometry-optimized PmZnNi2H8 structure. The functional is PBE-GGA.

Results
DFT total energy: -3.744 eV per atom

CIF file:
```
data_PmZnNi2H8
_chemical_formula_sum 'Pm1 Zn1 Ni2 H8'
_space_group_name_H-M_alt 'P -3'
_space_group_IT_number 147
_space_group_name_Hall '-P 3'
_cell_length_a 4.3213
_cell_length_b 4.3213
_cell_length_c 6.2106
_cell_angle_alpha 90.00
_cell_angle_beta 90.00
_cell_angle_gamma 120.00
loop_
_atom_site_label
_atom_site_type_symbol
_atom_site_fract_x
_atom_site_fract_y
_atom_site_fract_z
_atom_site_occupancy
Pm1 Pm 0.0000 0.0000 0.0000 1
Zn1 Zn 0.0000 0.0000 0.5000 1
Ni1 Ni 0.3333 0.6667 0.6894 1
H1 H 0.0389 0.6933 0.3108 1
H2 H 0.3333 0.6667 0.9429 1
```

Record 3
This record from Alexandria describes a geometry-optimized Pm2Zn2Ni2H structure. The functional is PBE-GGA.

Results
DFT total energy: -4.214 eV per atom

CIF file:
```
data_Pm2Zn2Ni2H
_chemical_formula_sum 'Pm4 Zn4 Ni4 H2'
_space_group_name_H-M_alt 'C 1 2/m 1'
_space_group_IT_number 12
_space_group_name_Hall '-C 2y'
_cell_length_a 10.4616
_cell_length_b 4.0725
_cell_length_c 7.1980
_cell_angle_alpha 90.00
_cell_angle_beta 129.15
_cell_angle_gamma 90.00
loop_
_atom_site_label
_atom_site_type_symbol
_atom_site_fract_x
_atom_site_fract_y
_atom_site_fract_z
_atom_site_occupancy
Pm1 Pm 0.0439 0.0000 0.2774 1
Zn1 Zn 0.1582 0.5000 0.7026 1
Ni1 Ni 0.1925 0.5000 0.0879 1
H1 H 0.0000 0.5000 0.0000 1
```

Record 4
This record from Alexandria describes a geometry-optimized Pm2ZnNiH structure. The functional is PBE-GGA.

Results
DFT total energy: -4.328 eV per atom

CIF file:
```
data_Pm2ZnNiH
_chemical_formula_sum 'Pm4 Zn2 Ni2 H2'
_space_group_name_H-M_alt 'P 1 21/m 1'
_space_group_IT_number 11
_space_group_name_Hall '-P 2yb'
_cell_length_a 6.2321
_cell_length_b 4.2292
_cell_length_c 7.6500
_cell_angle_alpha 90.00
_cell_angle_beta 104.77
_cell_angle_gamma 90.00
loop_
_atom_site_label
_atom_site_type_symbol
_atom_site_fract_x
_atom_site_fract_y
_atom_site_fract_z
_atom_site_occupancy
Pm1 Pm 0.2278 0.2500 0.4162 1
Pm2 Pm 0.2383 0.2500 0.9625 1
Zn1 Zn 0.3378 0.7500 0.7087 1
Ni1 Ni 0.4275 0.7500 0.2340 1
H1 H 0.1591 0.7500 0.1549 1
```